This record from OQMD describes a relaxed Zr4TlBiN2 crystal. The functional is PBE-GGA.

Lattice parameters (Å, degrees): 3.405 3.405 14.448 90.00 90.00 120.00
Fractional coordinates of all 8 atoms:
1 Bi 0.000 0.000 0.000
2 N 0.333 0.667 0.250
3 N 0.333 0.667 0.750
4 Tl 0.667 0.333 0.500
5 Zr 0.667 0.333 0.166
6 Zr 0.000 0.000 0.330
7 Zr 0.000 0.000 0.670
8 Zr 0.667 0.333 0.834

The raw total energy is -8.09 eV/atom.

***

This record from OQMD describes a relaxed TbHo2Cd3Ga3 crystal. The functional is PBE-GGA.

Lattice parameters (Å, degrees): 4.405 7.255 7.255 120.12 90.00 90.00
Fractional coordinates of all 9 atoms:
1 Cd 0.500 0.750 0.000
2 Cd 0.500 0.250 0.250
3 Cd 0.500 0.000 0.750
4 Ga 0.000 0.001 0.001
5 Ga 0.500 0.667 0.332
6 Ga 0.500 0.332 0.667
7 Ho 0.000 0.000 0.424
8 Ho 0.000 0.424 0.000
9 Tb 0.000 0.575 0.575

The raw total energy is -3.36 eV/atom.

***

This record from OQMD describes a relaxed NaNbAsO crystal. The functional is PBE-GGA.

Lattice parameters (Å, degrees): 3.810 6.920 5.325 90.00 90.00 90.00
Fractional coordinates of all 8 atoms:
1 As 0.000 0.279 0.376
2 As 0.000 0.721 0.876
3 Na 0.500 0.997 0.123
4 Na 0.500 0.003 0.623
5 Nb 0.000 0.642 0.378
6 Nb 0.000 0.358 0.878
7 O 0.500 0.729 0.377
8 O 0.500 0.271 0.877

The raw total energy is -6.34 eV/atom.

***

This record from OQMD describes a relaxed TbYAu2S4 crystal. The functional is PBE-GGA.

Lattice parameters (Å, degrees): 4.134 4.134 14.759 90.00 90.00 120.00
Fractional coordinates of all 8 atoms:
1 Au 0.333 0.667 0.250
2 Au 0.667 0.333 0.750
3 S 0.333 0.667 0.094
4 S 0.333 0.667 0.406
5 S 0.667 0.333 0.594
6 S 0.667 0.333 0.906
7 Tb 0.000 0.000 0.500
8 Y 0.000 0.000 0.000

The raw total energy is -5.57 eV/atom.

***

This record from OQMD describes a relaxed ZnPbC4S4N4 crystal. The functional is PBE-GGA.

Lattice parameters (Å, degrees): 9.281 6.176 20.766 90.00 90.00 90.00
Fractional coordinates of all 56 atoms:
1 C 0.803 0.407 0.074
2 C 0.436 0.105 0.077
3 C 0.408 0.408 0.215
4 C 0.148 0.782 0.215
5 C 0.648 0.782 0.285
6 C 0.908 0.408 0.285
7 C 0.936 0.105 0.423
8 C 0.303 0.407 0.426
9 C 0.697 0.907 0.574
10 C 0.064 0.605 0.577
11 C 0.092 0.908 0.715
12 C 0.352 0.282 0.715
13 C 0.852 0.282 0.785
14 C 0.592 0.908 0.785
15 C 0.564 0.605 0.923
16 C 0.197 0.907 0.926
17 N 0.727 0.540 0.097
18 N 0.521 0.982 0.099
19 N 0.443 0.549 0.179
20 N 0.679 0.791 0.230
21 N 0.179 0.791 0.270
22 N 0.943 0.549 0.321
23 N 0.021 0.982 0.401
24 N 0.227 0.540 0.403
25 N 0.773 0.040 0.597
26 N 0.979 0.482 0.599
27 N 0.057 0.049 0.679
28 N 0.821 0.291 0.730
29 N 0.321 0.291 0.770
30 N 0.557 0.049 0.821
31 N 0.479 0.482 0.901
32 N 0.273 0.040 0.903
33 Pb 0.108 0.249 0.145
34 Pb 0.608 0.249 0.355
35 Pb 0.392 0.749 0.645
36 Pb 0.892 0.749 0.855
37 S 0.908 0.226 0.041
38 S 0.323 0.276 0.046
39 S 0.107 0.776 0.139
40 S 0.848 0.211 0.241
41 S 0.348 0.211 0.259
42 S 0.607 0.776 0.361
43 S 0.823 0.276 0.454
44 S 0.408 0.226 0.459
45 S 0.592 0.726 0.541
46 S 0.177 0.776 0.546
47 S 0.393 0.276 0.639
48 S 0.652 0.711 0.741
49 S 0.152 0.711 0.759
50 S 0.893 0.276 0.861
51 S 0.677 0.776 0.954
52 S 0.092 0.726 0.959
53 Zn 0.597 0.731 0.143
54 Zn 0.097 0.731 0.357
55 Zn 0.903 0.231 0.643
56 Zn 0.403 0.231 0.857

The raw total energy is -6.47 eV/atom.

***

This record from OQMD describes a relaxed Cu9As crystal. The functional is PBE-GGA.

Lattice parameters (Å, degrees): 2.566 2.566 41.990 90.00 90.00 90.00
Fractional coordinates of all 20 atoms:
1 As 0.000 0.500 0.086
2 As 0.500 0.000 0.914
3 Cu 0.500 0.000 0.135
4 Cu 0.000 0.500 0.179
5 Cu 0.500 0.000 0.221
6 Cu 0.000 0.500 0.264
7 Cu 0.500 0.000 0.306
8 Cu 0.000 0.500 0.349
9 Cu 0.500 0.000 0.392
10 Cu 0.000 0.500 0.435
11 Cu 0.500 0.000 0.478
12 Cu 0.000 0.500 0.522
13 Cu 0.500 0.000 0.565
14 Cu 0.000 0.500 0.608
15 Cu 0.500 0.000 0.651
16 Cu 0.000 0.500 0.694
17 Cu 0.500 0.000 0.736
18 Cu 0.000 0.500 0.779
19 Cu 0.500 0.000 0.821
20 Cu 0.000 0.500 0.865

The raw total energy is -3.77 eV/atom.

***

This record from OQMD describes a relaxed LuNiPbW crystal. The functional is PBE-GGA.

Lattice parameters (Å, degrees): 4.798 4.798 4.798 60.00 60.00 60.00
Fractional coordinates of all 4 atoms:
1 Lu 0.250 0.250 0.250
2 Ni 0.750 0.750 0.750
3 Pb 0.000 0.000 0.000
4 W 0.500 0.500 0.500

The raw total energy is -5.93 eV/atom.

***

This record from OQMD describes a relaxed WS8Cl6 crystal. The functional is PBE-GGA.

Lattice parameters (Å, degrees): 8.009 8.026 12.807 97.10 100.65 90.24
Fractional coordinates of all 30 atoms:
1 Cl 0.758 0.255 0.078
2 Cl 0.009 0.694 0.102
3 Cl 0.365 0.500 0.106
4 Cl 0.205 0.052 0.108
5 Cl 0.565 0.858 0.111
6 Cl 0.338 0.811 0.291
7 Cl 0.662 0.189 0.709
8 Cl 0.435 0.142 0.889
9 Cl 0.795 0.948 0.892
10 Cl 0.635 0.500 0.894
11 Cl 0.991 0.306 0.898
12 Cl 0.242 0.745 0.922
13 S 0.115 0.376 0.296
14 S 0.760 0.592 0.304
15 S 0.912 0.026 0.331
16 S 0.555 0.244 0.340
17 S 0.014 0.584 0.370
18 S 0.121 0.183 0.389
19 S 0.620 0.490 0.401
20 S 0.725 0.088 0.419
21 S 0.275 0.912 0.581
22 S 0.380 0.510 0.599
23 S 0.879 0.817 0.611
24 S 0.986 0.416 0.630
25 S 0.445 0.756 0.660
26 S 0.088 0.974 0.669
27 S 0.240 0.408 0.696
28 S 0.885 0.624 0.704
29 W 0.287 0.777 0.106
30 W 0.713 0.223 0.894

The raw total energy is -4.19 eV/atom.

***

This record from OQMD describes a relaxed AlZnCu2 crystal. The functional is PBE-GGA.

Lattice parameters (Å, degrees): 5.899 5.899 5.899 90.00 90.00 90.00
Fractional coordinates of all 16 atoms:
1 Al 0.500 0.500 0.000
2 Al 0.500 0.000 0.500
3 Al 0.000 0.500 0.500
4 Al 0.500 0.500 0.500
5 Cu 0.251 0.251 0.251
6 Cu 0.749 0.251 0.251
7 Cu 0.251 0.749 0.251
8 Cu 0.749 0.749 0.251
9 Cu 0.251 0.251 0.749
10 Cu 0.749 0.251 0.749
11 Cu 0.251 0.749 0.749
12 Cu 0.749 0.749 0.749
13 Zn 0.000 0.000 0.000
14 Zn 0.500 0.000 0.000
15 Zn 0.000 0.500 0.000
16 Zn 0.000 0.000 0.500

The raw total energy is -3.26 eV/atom.

***

This record from OQMD describes a relaxed ThFe crystal. The functional is PBE-GGA.

Lattice parameters (Å, degrees): 3.853 3.853 3.853 60.00 60.00 60.00
Fractional coordinates of all 2 atoms:
1 Fe 0.000 0.000 0.000
2 Th 0.500 0.500 0.500

The formation energy from the elements is 0.370 eV per formula unit. The raw total energy is -7.68 eV/atom.

***

This record from OQMD describes a relaxed CuBiMoAu crystal. The functional is PBE-GGA.

Lattice parameters (Å, degrees): 4.695 4.695 4.695 60.00 60.00 60.00
Fractional coordinates of all 4 atoms:
1 Au 0.500 0.500 0.500
2 Bi 0.000 0.000 0.000
3 Cu 0.750 0.750 0.750
4 Mo 0.250 0.250 0.250

The raw total energy is -4.94 eV/atom.

***

This record from OQMD describes a relaxed DyYH2I4 crystal. The functional is PBE-GGA.

Lattice parameters (Å, degrees): 3.990 3.990 16.666 90.00 90.00 120.00
Fractional coordinates of all 8 atoms:
1 Dy 0.000 0.000 0.500
2 H 0.667 0.333 0.000
3 H 0.333 0.667 0.500
4 I 0.333 0.667 0.127
5 I 0.667 0.333 0.373
6 I 0.667 0.333 0.627
7 I 0.333 0.667 0.873
8 Y 0.000 0.000 0.000

The raw total energy is -4.19 eV/atom.

***

- The lowest raw total energy belongs to which entry?
  Zr4TlBiN2

***

- raw total energy of number 2 (TbHo2Cd3Ga3)?
  -3.36 eV/atom